(P)
Here is a geometry-optimized MgTcCl2 structure from the Alexandria database. Energies are from PBEsol.

Lattice parameters (Å, degrees): 4.4073 4.4073 3.1003 90.00 90.00 90.00
Last column: nearest neighbours and their distance in Å.
Space group P4/mmm (No. 123)
Unique sites:
1 Mg 0.0000 0.0000 0.0000  8 Cl 2.69
2 Tc 0.5000 0.5000 0.0000  8 Cl 2.69
3 Cl 0.0000 0.5000 0.5000  4 Tc 2.69, 4 Mg 2.69



(Q)
Here is a geometry-optimized MgTcCl2 structure from the Alexandria database. Energies are from PBEsol.

Lattice parameters (Å, degrees): 3.1126 4.5007 12.1975 90.00 90.00 90.00
Last column: nearest neighbours and their distance in Å.
Space group Immm (No. 71)
Unique sites:
1 Mg 0.0000 0.0000 0.0000  4 Tc 2.74, 4 Cl 2.89
2 Tc 0.0000 0.0000 0.5000  4 Cl 2.39
3 Cl 0.0000 0.5000 0.1486  2 Tc 2.39



Which one sits at the bottom of the stability order? (P) does.



(P)
Here is a geometry-optimized MgTc3Cl structure from the Alexandria database. Energies are from PBEsol.

Lattice parameters (Å, degrees): 4.3103 4.3103 4.3103 90.00 90.00 90.00
Last column: nearest neighbours and their distance in Å.
Space group Pm-3m (No. 221)
Unique sites:
1 Mg 0.0000 0.0000 0.0000  12 Tc 3.05
2 Tc 0.0000 0.5000 0.5000  2 Cl 2.16
3 Cl 0.5000 0.5000 0.5000  6 Tc 2.16



(Q)
Here is a geometry-optimized MgTc3Cl structure from the Alexandria database. Energies are from PBEsol.

Lattice parameters (Å, degrees): 4.6900 4.6900 4.6900 90.00 90.00 90.00
Last column: nearest neighbours and their distance in Å.
Space group Pm-3m (No. 221)
Unique sites:
1 Mg 0.0000 0.0000 0.0000  6 Tc 2.34
2 Tc 0.0000 0.0000 0.5000  2 Mg 2.34
3 Cl 0.5000 0.5000 0.5000  12 Tc 3.32



Which one sits at the bottom of the stability order? (Q) does.



(P)
Here is a geometry-optimized MgTlCl2 structure from the Alexandria database. Energies are from PBEsol.

Lattice parameters (Å, degrees): 4.1682 4.1682 11.7629 90.00 90.00 90.00
Last column: nearest neighbours and their distance in Å.
Space group I-4m2 (No. 119)
Unique sites:
1 Mg 0.0000 0.0000 0.0000  4 Cl 2.95
2 Tl 0.0000 0.5000 0.2500  4 Cl 2.95
3 Cl 0.0000 0.0000 0.5000  4 Mg 2.95
4 Cl 0.0000 0.5000 0.7500  4 Tl 2.95



(Q)
Here is a geometry-optimized MgTlCl2 structure from the Alexandria database. Energies are from PBEsol.

Lattice parameters (Å, degrees): 6.0936 3.5217 10.4538 90.00 100.62 90.00
Last column: nearest neighbours and their distance in Å.
Space group C2/m (No. 12)
Unique sites:
1 Mg 0.0000 0.0000 0.0000  6 Cl 2.48
2 Tl 0.0000 0.5000 0.5000  6 Tl 3.52, 2 Cl 3.72
3 Cl 0.1230 0.5000 0.8623  3 Mg 2.48



Which one sits at the bottom of the stability order? (P) does.



(P)
Here is a geometry-optimized Mg2WCl structure from the Alexandria database. Energies are from PBEsol.

Lattice parameters (Å, degrees): 5.9721 8.3657 2.8438 90.00 90.00 90.00
Last column: nearest neighbours and their distance in Å.
Space group Cmmm (No. 65)
Unique sites:
1 Mg 0.2500 0.2500 0.0000  4 Mg 2.84-2.99, 4 Cl 2.94, 4 W 2.94
2 W 0.0000 0.0000 0.5000  2 W 2.84, 8 Mg 2.94, 2 Cl 2.99
3 Cl 0.0000 0.5000 0.5000  2 Cl 2.84, 8 Mg 2.94, 2 W 2.99



(Q)
Here is a geometry-optimized Mg2WCl structure from the Alexandria database. Energies are from PBEsol.

Lattice parameters (Å, degrees): 2.9868 5.0098 9.9820 90.00 90.00 90.00
Last column: nearest neighbours and their distance in Å.
Space group Imm2 (No. 44)
Unique sites:
1 Mg 0.0000 0.0000 0.0000  2 W 2.87, 4 Mg 2.99-3.21, 4 Cl 2.99
2 Mg 0.0000 0.5000 0.2009  4 W 2.95, 4 Mg 2.99-3.21, 2 Cl 3.07
3 W 0.0000 0.5000 0.7453  2 Cl 2.39
4 Cl 0.0000 0.0000 0.4318  2 W 2.39



(R)
Here is a geometry-optimized Mg2WCl structure from the Alexandria database. Energies are from PBEsol.

Lattice parameters (Å, degrees): 2.9128 4.7599 5.1352 90.00 90.00 90.00
Last column: nearest neighbours and their distance in Å.
Space group Pmm2 (No. 25)
Unique sites:
1 Mg 0.0000 0.0000 0.0000  2 Cl 2.67, 4 W 2.91, 4 Mg 2.91-2.96
2 Mg 0.0000 0.5000 0.3431  4 Mg 2.91-2.96, 4 W 2.95-2.96, 4 Cl 3.01
3 W 0.5000 0.5000 0.8421  2 Cl 2.78, 8 Mg 2.91-2.96, 2 W 2.91
4 Cl 0.5000 0.0000 0.5641  2 Mg 2.67, 2 W 2.78, 2 Cl 2.91



Which one sits at the bottom of the stability order? (R) does.



(P)
Here is a geometry-optimized MgZrCl structure from the Alexandria database. Energies are from PBEsol.

Lattice parameters (Å, degrees): 3.7848 4.9555 13.7710 90.00 90.00 90.00
Last column: nearest neighbours and their distance in Å.
Space group Fmm2 (No. 42)
Unique sites:
1 Mg 0.0000 0.0000 0.0000  2 Zr 2.95, 4 Mg 3.12
2 Zr 0.0000 0.0000 0.3353  2 Cl 2.64, 2 Mg 2.95
3 Cl 0.0000 0.0000 0.7016  2 Zr 2.64



(Q)
Here is a geometry-optimized MgZrCl structure from the Alexandria database. Energies are from PBEsol.

Lattice parameters (Å, degrees): 6.8657 6.8657 6.8657 90.00 90.00 90.00
Last column: nearest neighbours and their distance in Å.
Space group F-43m (No. 216)
Unique sites:
1 Mg 0.0000 0.0000 0.0000  4 Cl 2.97, 4 Zr 2.97
2 Zr 0.2500 0.2500 0.7500  4 Mg 2.97
3 Cl 0.2500 0.2500 0.2500  4 Mg 2.97



Which one sits at the bottom of the stability order? (Q) does.



(P)
Here is a geometry-optimized MgZrCl2 structure from the Alexandria database. Energies are from PBEsol.

Lattice parameters (Å, degrees): 3.3416 3.3416 25.1281 90.00 90.00 120.00
Last column: nearest neighbours and their distance in Å.
Space group R-3m (No. 166, hexagonal axes)
Unique sites:
1 Mg 0.0000 0.0000 0.0000  6 Cl 2.44
2 Zr 0.0000 0.0000 0.5000  2 Cl 2.69
3 Cl 0.0000 0.0000 0.3929  3 Mg 2.44, 1 Zr 2.69



(Q)
Here is a geometry-optimized MgZrCl2 structure from the Alexandria database. Energies are from PBEsol.

Lattice parameters (Å, degrees): 6.1139 7.9185 3.1165 90.00 90.00 90.00
Last column: nearest neighbours and their distance in Å.
Space group Cmmm (No. 65)
Unique sites:
1 Mg 0.0000 0.0000 0.0000  8 Cl 2.95, 2 Zr 3.06, 2 Mg 3.12
2 Zr 0.0000 0.5000 0.0000  8 Cl 2.95, 2 Mg 3.06, 2 Zr 3.12
3 Cl 0.2500 0.2500 0.5000  4 Zr 2.95, 4 Mg 2.95, 4 Cl 3.06-3.12



(R)
Here is a geometry-optimized MgZrCl2 structure from the Alexandria database. Energies are from PBEsol.

Lattice parameters (Å, degrees): 3.2538 4.4072 5.6703 90.00 92.98 90.00
Last column: nearest neighbours and their distance in Å.
Space group P2/m (No. 10)
Unique sites:
1 Mg 0.0000 0.0000 0.0000  4 Cl 2.81
2 Zr 0.5000 0.0000 0.5000  4 Cl 2.64
3 Cl 0.3130 0.5000 0.2608  2 Zr 2.64, 2 Mg 2.81, 1 Cl 2.92



Which one sits at the bottom of the stability order? (Q) does.



(P)
Here is a geometry-optimized Mg2ZrCl structure from the Alexandria database. Energies are from PBEsol.

Lattice parameters (Å, degrees): 5.6355 9.5082 3.1205 90.00 90.00 90.00
Last column: nearest neighbours and their distance in Å.
Space group Cmmm (No. 65)
Unique sites:
1 Mg 0.2500 0.2500 0.0000  4 Mg 2.82-3.12
2 Zr 0.0000 0.0000 0.5000  2 Cl 2.82, 2 Zr 3.12
3 Cl 0.0000 0.5000 0.5000  2 Zr 2.82, 2 Cl 3.12



(Q)
Here is a geometry-optimized Mg2ZrCl structure from the Alexandria database. Energies are from PBEsol.

Lattice parameters (Å, degrees): 6.9304 6.9304 6.9304 90.00 90.00 90.00
Last column: nearest neighbours and their distance in Å.
Space group F-43m (No. 216)
Unique sites:
1 Mg 0.0000 0.0000 0.0000  4 Cl 3.00, 4 Mg 3.00
2 Mg 0.2500 0.2500 0.2500  4 Zr 3.00, 4 Mg 3.00
3 Zr 0.0000 0.0000 0.5000  4 Cl 3.00, 4 Mg 3.00
4 Cl 0.2500 0.2500 0.7500  4 Mg 3.00, 4 Zr 3.00



Which one sits at the bottom of the stability order? (Q) does.



(P)
Here is a geometry-optimized MnP2Cl structure from the Alexandria database. Energies are from PBEsol.

Lattice parameters (Å, degrees): 3.5275 4.3882 4.8724 90.00 110.67 90.00
Last column: nearest neighbours and their distance in Å.
Space group P2/m (No. 10)
Unique sites:
1 Mn 0.0000 0.0000 0.0000  2 Cl 2.44, 4 P 2.47
2 P 0.3277 0.5000 0.1542  2 P 2.24-2.27, 2 Mn 2.47
3 Cl 0.0000 0.0000 0.5000  2 Mn 2.44



(Q)
Here is a geometry-optimized MnP2Cl structure from the Alexandria database. Energies are from PBEsol.

Lattice parameters (Å, degrees): 7.7463 3.1011 6.7088 90.00 107.01 90.00
Last column: nearest neighbours and their distance in Å.
Space group Cm (No. 8)
Unique sites:
1 Mn 0.0000 0.0000 0.0000  5 P 2.30-2.39, 2 Cl 2.34
2 P 0.2705 0.0000 0.9184  1 P 2.09, 3 Mn 2.30-2.32
3 P 0.4321 0.0000 0.7169  1 P 2.09
4 Cl 0.1248 0.5000 0.2634  2 Mn 2.34



Which one sits at the bottom of the stability order? (P) does.